Density functional theory data (PBE with a Hubbard U) for crystalline Li2CrP2O8 at its relaxed geometry.

Computed properties:
* calculated total energy: -178.3 eV/cell

a b c (Å): 4.8908 8.2747 8.5348
angles (deg): 114.87 103.08 90.02
With the nearest neighbours (Å) after each atom.
Atoms (fractional coordinates):
1 Li 0.1450 0.9227 0.6927  4 O 2.02-2.18
2 Li 0.3674 0.5958 0.3916  3 O 1.91-2.05
3 Li 0.6326 0.4042 0.6084  3 O 1.91-2.05
4 Li 0.8550 0.0773 0.3073  4 O 2.02-2.18
5 Cr 0.2736 0.7660 0.0439  6 O 1.94-2.05
6 Cr 0.7264 0.2340 0.9561  6 O 1.94-2.05
7 P 0.1489 0.3231 0.7563  4 O 1.53-1.60
8 P 0.3034 0.1960 0.1944  4 O 1.51-1.56
9 P 0.6966 0.8040 0.8056  4 O 1.51-1.56
10 P 0.8511 0.6769 0.2437  4 O 1.53-1.60
11 O 0.0244 0.8414 0.8703  1 P 1.56
12 O 0.1044 0.5166 0.8730  1 P 1.54
13 O 0.0255 0.7364 0.4362  1 P 1.53
14 O 0.9844 0.8103 0.1830  1 P 1.60
15 O 0.4661 0.2959 0.7695  1 P 1.55
16 O 0.5691 0.9757 0.8036  1 P 1.56
17 O 0.5774 0.7378 0.9256  1 P 1.56
18 O 0.6123 0.6518 0.6201  1 P 1.51
19 O 0.3877 0.3482 0.3799  1 P 1.51
20 O 0.4226 0.2622 0.0744  1 P 1.56
21 O 0.4309 0.0243 0.1964  1 P 1.56
22 O 0.5339 0.7041 0.2305  1 P 1.55
23 O 0.0156 0.1897 0.8170  1 P 1.60
24 O 0.9745 0.2636 0.5638  1 P 1.53
25 O 0.8956 0.4834 0.1270  1 P 1.54
26 O 0.9756 0.1586 0.1297  1 P 1.56